# MnGeH3 SCAN single point on PBEsol structure
data_MnGeH3
_cell_length_a 3.401
_cell_length_b 3.401
_cell_length_c 3.401
_cell_angle_alpha 90.00
_cell_angle_beta 90.00
_cell_angle_gamma 90.00
_space_group_name_H-M_alt 'P m -3 m'
_space_group_IT_number 221
_space_group_name_Hall '-P 4 2 3'
loop_
_atom_site_label
_atom_site_type_symbol
_atom_site_fract_x
_atom_site_fract_y
_atom_site_fract_z
_atom_site_occupancy
Mn1 Mn 0.000 0.000 0.000 1
Ge1 Ge 0.500 0.500 0.500 1
H1 H 0.000 0.000 0.500 1
# total magnetization = 0.562 μB/atom
# volume = 39 Å³ per cell
# total DFT energy (no corrections) = -46.03 eV for the cell shown

***

# YZrMo SCAN single point on PBEsol structure
data_YZrMo
_cell_length_a 4.7952
_cell_length_b 4.7952
_cell_length_c 3.1220
_cell_angle_alpha 90.00
_cell_angle_beta 90.00
_cell_angle_gamma 120.00
_space_group_name_H-M_alt 'P 3 m 1'
_space_group_IT_number 156
loop_
_space_group_symop_operation_xyz
'x,y,z'
'-y,x-y,z'
'-x+y,-x,z'
'-y,-x,z'
'-x+y,y,z'
'x,x-y,z'
loop_
_atom_site_label
_atom_site_type_symbol
_atom_site_fract_x
_atom_site_fract_y
_atom_site_fract_z
_atom_site_occupancy
Y1 Y 0.0000 0.0000 0.0000 1
Zr1 Zr 0.3333 0.6667 0.4305 1
Mo1 Mo 0.6667 0.3333 0.6646 1
# ΔE_f = 6.91 kcal/mol of atoms
# total magnetization = 0.000 μB/atom
# volume = 62 Å³ per cell